VASP calculation (GGA+U) on an optimized crystal structure of BaInNiO3.

Output
Uncorrected energy: -5.040 eV per atom
Magnetization: 0.166 μB per atom

Cell lengths 4.421, 12.259, 6.829 Å; angles 90.00, 90.00, 90.00 degrees
Space group Cmcm (No. 63)
Unique sites:
Ba: 0.000 0.217 0.250 x4
In: 0.000 0.484 0.250 x4
Ni: 0.000 0.000 0.000 x4
O: 0.000 0.073 0.750 x4
O: 0.000 0.381 0.530 x8